1.
A relaxed structure of MnZnBi2S. Source: Alexandria, functional GGA-PBEsol.

a = 5.357 Å, b = 5.357 Å, c = 4.037 Å
α = 90.00°, β = 90.00°, γ = 90.00°
Positions (direct):
Mn: 0.000 0.000 0.000
Zn: 0.500 0.500 0.500
Bi: 0.000 0.500 0.000
Bi: 0.500 0.000 0.000
S: 0.000 0.000 0.500



2.
A relaxed structure of NaCo2CuRh. Source: Alexandria, functional GGA-PBEsol.

a = 4.200 Å, b = 4.200 Å, c = 4.144 Å
α = 90.00°, β = 90.00°, γ = 90.00°
Positions (direct):
Na: 0.000 0.000 0.000
Co: 0.000 0.500 0.000
Co: 0.500 0.000 0.000
Cu: 0.000 0.000 0.500
Rh: 0.500 0.500 0.500

Results
Its formation energy is 9.8 eV/f.u.



3.
A relaxed structure of BaY4In. Source: Alexandria, functional GGA-PBEsol.

a = 6.527 Å, b = 6.527 Å, c = 6.527 Å
α = 60.00°, β = 60.00°, γ = 60.00°
Positions (direct):
Ba: 0.000 0.000 0.000
Y: 0.129 0.624 0.624
Y: 0.624 0.129 0.624
Y: 0.624 0.624 0.129
Y: 0.624 0.624 0.624
In: 0.250 0.250 0.250

Results
Its formation energy is 1.3 eV/f.u.



4.
A relaxed structure of CaZrZn2. Source: Alexandria, functional GGA-PBEsol.

a = 3.137 Å, b = 3.137 Å, c = 8.280 Å
α = 90.00°, β = 90.00°, γ = 90.00°
Positions (direct):
Ca: 0.000 0.000 0.000
Zr: 0.500 0.500 0.655
Zn: 0.000 0.000 0.437
Zn: 0.500 0.500 0.267

Results
Its formation energy is 0.0 eV/f.u.



5.
A relaxed structure of Sr2YAg2. Source: Alexandria, functional GGA-PBEsol.

a = 7.987 Å, b = 7.987 Å, c = 4.692 Å
α = 90.00°, β = 90.00°, γ = 90.00°
Positions (direct):
Sr: 0.171 0.329 0.000
Sr: 0.329 0.829 0.000
Sr: 0.671 0.171 0.000
Sr: 0.829 0.671 0.000
Y: 0.000 0.000 0.500
Y: 0.500 0.500 0.500
Ag: 0.127 0.627 0.500
Ag: 0.373 0.127 0.500
Ag: 0.627 0.873 0.500
Ag: 0.873 0.373 0.500

Results
Its formation energy is -0.8 eV/f.u.



6.
A relaxed structure of Ca2FeSe. Source: Alexandria, functional GGA-PBEsol.

a = 3.578 Å, b = 3.578 Å, c = 6.927 Å
α = 90.00°, β = 90.00°, γ = 90.00°
Positions (direct):
Ca: 0.000 0.000 0.242
Ca: 0.000 0.000 0.758
Fe: 0.500 0.500 0.500
Se: 0.500 0.500 0.000

Results
Its polymorph energy (0 for the lowest one) is 0.21 eV/f.u.



Computed total energy, in the same sequence as the records: -23.1, -19.6, -31.1, -14.4, -17.9, -18.9 eV/f.u..